[1]
Below is a geometry-optimized Na5Au structure, with properties calculated at the GGA-PBE level.

Calculated values
* size of the total moment: 0.0 μB/cell
* energy of formation from the pure elements: -126 meV per atom

Unit cell a=8.409 b=8.409 c=8.409 alpha=126.60 beta=126.60 gamma=78.90
Element x y z (fractional)
Na 0.000 0.000 0.000
Na 0.019 0.519 0.832
Na 0.187 0.019 0.500
Na 0.313 0.813 0.832
Na 0.481 0.313 0.500
Na 0.500 0.500 0.000
Na 0.519 0.687 0.500
Na 0.687 0.187 0.168
Na 0.813 0.981 0.500
Na 0.981 0.481 0.168
Au 0.250 0.250 0.000
Au 0.750 0.750 0.000

[2]
Below is a geometry-optimized Np4Pt structure, with properties calculated at the GGA-PBE level.

Calculated values
* size of the total moment: 9.2 μB/cell
* energy of formation from the pure elements: 1047 meV per atom

Unit cell a=5.424 b=5.424 c=5.424 alpha=90.00 beta=90.00 gamma=90.00
Element x y z (fractional)
Np 0.000 0.000 0.000
Np 0.000 0.500 0.500
Np 0.500 0.000 0.500
Np 0.500 0.500 0.000
Pt 0.500 0.500 0.500

Q: Among the records above, which one has the highest size of the total moment?
A: Np4Pt